[1]
Below is a relaxed MnB2AuF crystal, with properties calculated at the GGA+U level.

Structure (POSCAR):
```
MnB2AuF
1.0
4.0003 0.0000 0.0000
0.0000 5.5024 0.0000
0.0000 0.0000 4.0003
B Mn Au F
2 1 1 1
direct
0.0000 0.0000 0.5000
0.5000 0.0000 0.0000
0.0000 0.5000 0.0000
0.0000 0.0000 0.0000
0.5000 0.5000 0.5000
```

## Properties
The density of states at the Fermi level comes out at 0.13 states/eV/f.u. For the total energy, the calculation gives -4.754 eV per atom. As for the spin magnetization: 5.000 Bohr magnetons per cell.

[2]
Below is a relaxed BMo2AuF crystal, with properties calculated at the GGA+U level.

Structure (POSCAR):
```
BMo2AuF
1.0
-0.2025 5.1061 2.0005
-2.8300 -1.1179 2.5669
3.8542 -1.2916 3.6868
Mo B Au F
2 1 1 1
direct
0.0000 0.0000 0.5000
0.5000 0.0000 0.0000
0.0000 0.5000 0.0000
0.0000 0.0000 0.0000
0.5000 0.5000 0.5000
```

## Properties
The density of states at the Fermi level comes out at 2.64 states/eV/f.u. For the total energy, the calculation gives -4.165 eV per atom. As for the spin magnetization: 8.508 Bohr magnetons per cell.